Entry from Alexandria via LeMat-Bulk: crystalline MgMnN2F at its relaxed geometry (GGA+U).

a = 4.142 Å, b = 4.142 Å, c = 3.705 Å
α = 90.00°, β = 90.00°, γ = 90.00°
Site moments in Bohr magnetons follow the coordinates.
Atoms (fractional coordinates):
1 Mg 0.000 0.000 0.000  0.00
2 F 0.000 0.000 0.500  -0.06
3 N 0.500 0.000 0.000  -0.98
4 N 0.000 0.500 0.000  -0.98
5 Mn 0.500 0.500 0.500  4.67

## Properties
size of the total moment: 2.0 μB per cell
E above lowest polymorph: 262 meV per atom